Material: Te2IrIF
Method: DFT, PBEsol
State: optimized geometry

Cell: 5.0800 5.0800 5.4804 Å, 90.00 90.00 90.00°
With the nearest neighbours (Å) after each atom.
Positions (direct):
Te1 0.5000 0.0000 0.0000  2 Ir 2.54
Te2 0.0000 0.5000 0.0000  2 Ir 2.54
I1 0.0000 0.0000 0.5000  2 Ir 2.74
Ir1 0.0000 0.0000 0.0000  4 Te 2.54, 2 I 2.74
F1 0.5000 0.5000 0.5000  4 I 3.59, 8 Te 3.74

Values from the calculation:
- energy relative to the elements, uncorrected (eV/f.u.) = 1.623
- M_tot (μB/atom) = 0.001
- density of states at the Fermi level (states/eV/cell) = 7.1



Material: CaMg2Rh2
Method: DFT, PBEsol
State: optimized geometry

Cell: 3.1003 7.5477 7.5477 Å, 90.00 90.00 90.00°
With the nearest neighbours (Å) after each atom.
Positions (direct):
Rh1 0.0000 0.6530 0.1530  6 Mg 2.70, 2 Ca 2.86
Rh2 0.0000 0.3470 0.8470  6 Mg 2.70, 2 Ca 2.86
Rh3 0.0000 0.1530 0.3470  6 Mg 2.70, 2 Ca 2.86
Rh4 0.0000 0.8470 0.6530  6 Mg 2.70, 2 Ca 2.86
Mg1 0.5000 0.6402 0.8598  6 Rh 2.70, 1 Mg 2.99
Mg2 0.5000 0.3598 0.1402  6 Rh 2.70, 1 Mg 2.99
Mg3 0.5000 0.8598 0.3598  6 Rh 2.70, 1 Mg 2.99
Mg4 0.5000 0.1402 0.6402  6 Rh 2.70, 1 Mg 2.99
Ca1 0.0000 0.5000 0.5000  4 Rh 2.86, 2 Ca 3.10
Ca2 0.0000 0.0000 0.0000  4 Rh 2.86, 2 Ca 3.10

Values from the calculation:
- M_tot (μB/atom) = 0.000
- density of states at the Fermi level (states/eV/cell) = 3.0
- formation energy (meV/atom) = -329.9



Material: Cd2MoCl
Method: DFT, PBEsol
State: optimized geometry

Cell: 2.8429 4.7540 5.5928 Å, 90.00 90.00 90.52°
With the nearest neighbours (Å) after each atom.
Positions (direct):
Cd1 0.2411 0.2474 0.0000  6 Cd 2.71-2.84
Cd2 0.7589 0.7526 0.0000  6 Cd 2.71-2.84
Mo1 0.5000 0.0000 0.5000  2 Cl 2.38
Cl1 0.5000 0.5000 0.5000  2 Mo 2.38

Values from the calculation:
- energy relative to the elements, uncorrected (eV/f.u.) = 1.511
- energy relative to the lowest polymorph listed for this composition (meV per atom) = 0
- M_tot (μB/atom) = 0.000
- density of states at the Fermi level (states/eV/cell) = 2.9